Compound: Ti8GeN2
Source: Alexandria via LeMat-Bulk
Functional: PBE
Structure: optimized geometry

```
Ti8GeN2
1.0
4.225 0.149 0.223
-0.475 6.587 -0.513
-0.475 -3.010 5.882
Ti Ge N
8 1 2
Direct
0.944 0.886 0.620
0.944 0.620 0.886
0.357 0.621 0.621
0.500 0.755 0.245
0.500 0.245 0.755
0.643 0.379 0.379
0.056 0.380 0.114
0.056 0.114 0.380
0.500 0.000 0.000
0.000 0.250 0.750
0.000 0.750 0.250
```

E_form (uncorrected): -6.6 eV/f.u.
Crystal system: monoclinic

---

Compound: Ba3TmPb2O9
Source: Alexandria via LeMat-Bulk
Functional: PBE
Structure: optimized geometry

```
Ba3TmPb2O9
1.0
6.158 0.000 0.000
-3.079 5.333 0.000
0.000 0.000 7.556
Ba Tm Pb O
3 1 2 9
Direct
0.333 0.667 0.670
0.000 0.000 0.000
0.667 0.333 0.330
0.000 0.000 0.500
0.333 0.667 0.171
0.667 0.333 0.829
0.833 0.167 0.668
0.833 0.667 0.668
0.333 0.167 0.668
0.667 0.833 0.332
0.167 0.333 0.332
0.167 0.833 0.332
0.500 0.000 0.000
0.000 0.500 0.000
0.500 0.500 0.000
```

E_form (uncorrected): -30.9 eV/f.u.
Crystal system: trigonal

---

Compound: ErZrCu
Source: Alexandria via LeMat-Bulk
Functional: PBE
Structure: optimized geometry

```
ErZrCu
1.0
3.327 0.000 0.000
0.000 3.327 0.000
-1.664 -1.664 5.811
Zr Cu Er
1 1 1
Direct
0.312 0.312 0.623
0.678 0.678 0.356
0.011 0.011 0.021
```

Relative energy among the computed polymorphs: 32 meV/atom
Crystal system: tetragonal
ΔE_f: -89 meV/atom

---

Compound: NbPSe2Br
Source: Alexandria via LeMat-Bulk
Functional: PBE
Structure: optimized geometry

```
NbPSe2Br
1.0
-2.102 -3.360 -2.867
3.196 -3.349 1.582
-2.994 -1.171 3.568
P Nb Se Br
1 1 2 1
Direct
0.000 0.000 0.000
0.500 0.500 0.500
0.000 0.500 0.000
0.500 0.000 0.000
0.000 0.000 0.500
```

Relative energy among the computed polymorphs: 362 meV/atom
E_form (uncorrected): 3.5 eV/f.u.
Crystal system: tetragonal

---

Compound: PmCuAgP
Source: Alexandria via LeMat-Bulk
Functional: PBE
Structure: optimized geometry

```
PmCuAgP
1.0
4.766 0.000 0.000
2.383 4.127 0.000
2.383 1.376 3.891
P Cu Ag Pm
1 1 1 1
Direct
0.750 0.750 0.750
0.250 0.250 0.250
0.500 0.500 0.500
0.000 0.000 0.000
```

Crystal system: cubic
ΔE_f: -304 meV/atom

---

Compound: Pm3Bi
Source: Alexandria via LeMat-Bulk
Functional: PBE
Structure: optimized geometry

```
Pm3Bi
1.0
-4.753 -0.172 -2.965
-2.131 -4.932 -1.594
-4.708 -1.913 2.362
Bi Pm
1 3
Direct
0.500 0.500 0.500
0.000 0.000 0.000
0.750 0.750 0.750
0.250 0.250 0.250
```

Relative energy among the computed polymorphs: 194 meV/atom
Crystal system: cubic
ΔE_f: -229 meV/atom

---

Compound: Np5Ta2S12
Source: Alexandria via LeMat-Bulk
Functional: PBE
Structure: optimized geometry

```
Np5Ta2S12
1.0
6.852 0.000 0.000
-3.426 7.647 0.127
0.000 -2.542 8.083
Np Ta S
5 2 12
Direct
0.304 0.608 0.651
0.315 0.631 0.161
0.000 0.000 0.500
0.685 0.369 0.839
0.696 0.392 0.349
0.715 0.000 0.000
0.285 0.000 0.000
0.000 0.999 0.188
0.082 0.667 0.915
0.585 0.667 0.915
0.093 0.694 0.428
0.601 0.694 0.428
0.497 0.993 0.762
0.503 0.007 0.238
0.907 0.306 0.572
0.399 0.306 0.572
0.918 0.333 0.085
0.415 0.333 0.085
0.000 0.001 0.812
```

E_form (uncorrected): -23.6 eV/f.u.
Crystal system: monoclinic

---

Compound: BaBe2Hg
Source: Alexandria via LeMat-Bulk
Functional: PBE
Structure: optimized geometry

```
BaBe2Hg
1.0
-2.143 2.762 3.613
-2.205 -4.125 1.845
4.167 -1.953 7.463
Be Hg Ba
4 2 2
Direct
0.875 0.125 0.250
0.875 0.625 0.250
0.375 0.125 0.750
0.875 0.125 0.750
0.000 0.000 0.000
0.750 0.250 0.500
0.500 0.500 0.000
0.250 0.750 0.500
```

Crystal system: tetragonal
ΔE_f: 283 meV/atom

---

no.,calculated density (g cm⁻³),energy (eV/atom),D(E_F) (states/eV/f.u.)
1,5.1,-8.276,9.23
2,7.6,-6.213,13.09
3,8.3,-5.824,3.96
4,5.2,-4.134,5.00
5,7.5,-4.581,1.47
6,8.6,-4.762,5.08
7,7.5,-8.502,40.96
8,5.8,-2.136,2.29